## NbSb (PBE)

Data for crystalline NbSb at its relaxed geometry.

Computed properties:
Its total DFT energy (no corrections) is -7.27 eV per atom.

Cell lengths 3.5851, 3.5851, 3.8281 Å; angles 90.00, 90.00, 120.00 degrees
With the nearest neighbours (Å) after each atom.
Sites, in units of the cell vectors:
Nb 0.0000 0.0000 0.0000  6 Sb 2.82
Sb 0.6667 0.3333 0.5000  6 Nb 2.82

***

## GdH7C8SO9 (PBE)

Data for crystalline GdH7C8SO9 at its relaxed geometry.

Computed properties:
Its total DFT energy (no corrections) is -6.76 eV per atom.

Cell lengths 6.2549, 8.5748, 10.5304 Å; angles 91.42, 99.62, 107.88 degrees
With the nearest neighbours (Å) after each atom.
Sites, in units of the cell vectors:
Gd 0.1506 0.2405 0.1111  8 O 2.28-2.52
Gd 0.8494 0.7595 0.8889  8 O 2.28-2.52
H 0.1823 0.1517 0.5541  1 C 1.09
H 0.3186 0.9536 0.1111  1 O 0.99
H 0.3426 0.6451 0.7865  1 O 1.00
H 0.3529 0.6431 0.5831  1 C 1.09
H 0.3886 0.5880 0.3563  1 C 1.09
H 0.4161 0.4962 0.8481  1 O 0.99
H 0.4558 0.9038 0.8204  1 O 0.98
H 0.5442 0.0962 0.1796  1 O 0.98
H 0.5839 0.5038 0.1519  1 O 0.99
H 0.6114 0.4120 0.6437  1 C 1.09
H 0.6471 0.3569 0.4169  1 C 1.09
H 0.6574 0.3549 0.2135  1 O 1.00
H 0.6814 0.0464 0.8889  1 O 0.99
H 0.8177 0.8483 0.4459  1 C 1.09
C 0.0204 0.2252 0.6996  2 C 1.39-1.41
C 0.0213 0.7627 0.6577  2 O 1.27-1.29
C 0.0507 0.2024 0.5738  1 H 1.09
C 0.0814 0.7494 0.5284  3 C 1.40-1.48
C 0.1351 0.6956 0.2735  3 C 1.40-1.50
C 0.1584 0.6515 0.1389  2 O 1.26-1.28
C 0.2465 0.6793 0.5041  1 H 1.09
C 0.2679 0.6493 0.3773  1 H 1.09
C 0.7321 0.3507 0.6227  1 H 1.09
C 0.7535 0.3207 0.4959  1 H 1.09
C 0.8416 0.3485 0.8611  2 O 1.26-1.28
C 0.8649 0.3044 0.7265  3 C 1.40-1.50
C 0.9186 0.2506 0.4716  3 C 1.40-1.48
C 0.9493 0.7976 0.4262  1 H 1.09
C 0.9787 0.2373 0.3423  2 O 1.27-1.29
C 0.9796 0.7748 0.3004  2 C 1.39-1.41
S 0.2151 0.1710 0.8199  3 O 1.44-1.49
S 0.7849 0.8290 0.1801  3 O 1.44-1.49
O 0.0893 0.0366 0.8916  1 S 1.48
O 0.1503 0.7448 0.7617  1 C 1.29
O 0.1574 0.7553 0.0539  1 C 1.28
O 0.1666 0.2116 0.3357  1 C 1.27
O 0.1779 0.5123 0.1172  1 C 1.26
O 0.3166 0.3173 0.9155  1 S 1.49
O 0.3752 0.1279 0.7533  1 S 1.44
O 0.3864 0.0738 0.1344  2 H 0.98-0.99
O 0.4684 0.5950 0.8003  2 H 0.99-1.00
O 0.5316 0.4050 0.1997  2 H 0.99-1.00
O 0.6136 0.9262 0.8656  2 H 0.98-0.99
O 0.6248 0.8721 0.2467  1 S 1.44
O 0.6834 0.6827 0.0845  1 S 1.49
O 0.8221 0.4877 0.8828  1 C 1.26
O 0.8334 0.7884 0.6643  1 C 1.27
O 0.8426 0.2447 0.9461  1 C 1.28
O 0.8497 0.2552 0.2383  1 C 1.29
O 0.9107 0.9634 0.1084  1 S 1.48

***

## NaCuNiW (PBE)

Data for crystalline NaCuNiW at its relaxed geometry.

Computed properties:
The value obtained for the offset from the most stable computed form is 0.000 eV per formula unit. Its total DFT energy (no corrections) is -5.13 eV per atom.

Cell lengths 4.3192, 4.3192, 4.3192 Å; angles 60.00, 60.00, 60.00 degrees
With the nearest neighbours (Å) after each atom.
Sites, in units of the cell vectors:
Na 0.0000 0.0000 0.0000  4 Ni 2.64, 4 Cu 2.64
Cu 0.7500 0.7500 0.7500  4 W 2.64, 4 Na 2.64
Ni 0.2500 0.2500 0.2500  4 W 2.64, 4 Na 2.64
W 0.5000 0.5000 0.5000  4 Ni 2.64, 4 Cu 2.64